! GGA-PBE InGaHg3, optimized geometry; values from VASP
! DOS(E_F)	1.390	states/eV/f.u.
! energy	-1.30	eV per atom
! space group	Pnma
&SYSTEM
  ibrav = 0, nat = 20, ntyp = 3
/
ATOMIC_SPECIES
In 114.82 In.upf
Ga 69.72 Ga.upf
Hg 200.59 Hg.upf
CELL_PARAMETERS angstrom
3.666 0.000 0.000
0.000 9.131 0.000
0.000 0.000 15.079
ATOMIC_POSITIONS crystal
In 0.250 0.051 0.331
In 0.750 0.949 0.669
In 0.750 0.449 0.831
In 0.250 0.551 0.169
Ga 0.250 0.676 0.571
Ga 0.750 0.324 0.429
Ga 0.750 0.824 0.071
Ga 0.250 0.176 0.929
Hg 0.750 0.291 0.238
Hg 0.250 0.643 0.966
Hg 0.250 0.063 0.116
Hg 0.250 0.563 0.384
Hg 0.250 0.143 0.534
Hg 0.750 0.437 0.616
Hg 0.250 0.209 0.738
Hg 0.750 0.937 0.884
Hg 0.750 0.357 0.034
Hg 0.750 0.791 0.262
Hg 0.750 0.857 0.466
Hg 0.250 0.709 0.762